InRePt: PBEsol geometry, SCAN.

The structure in POSCAR format:
```
InRePt
1.0
6.1267 0.0000 0.0000
0.0000 6.1267 0.0000
0.0000 0.0000 6.1267
In Re Pt
4 4 4
Direct
0.0000 0.0000 0.0000 In
0.0000 0.5000 0.5000 In
0.5000 0.0000 0.5000 In
0.5000 0.5000 0.0000 In
0.0000 0.0000 0.5000 Re
0.0000 0.5000 0.0000 Re
0.5000 0.0000 0.0000 Re
0.5000 0.5000 0.5000 Re
0.2500 0.2500 0.7500 Pt
0.2500 0.7500 0.2500 Pt
0.7500 0.2500 0.2500 Pt
0.7500 0.7500 0.7500 Pt
```

Computed properties:
- V (Å³ per atom) = 19.16
- uncorrected energy (hartree per atom) = -2.1263
- formation enthalpy at 0 K (eV/atom) = 0.37
- ρ (Mg/m³) = 14.33

***

InPtRh: PBEsol geometry, SCAN.

The structure in POSCAR format:
```
InPtRh
1.0
2.9265 0.0000 0.0000
0.0000 2.9265 0.0000
0.0000 0.0000 11.0853
In Pt Rh
2 2 2
Direct
0.0000 0.0000 0.0000 In
0.5000 0.5000 0.5000 In
0.0000 0.0000 0.6729 Pt
0.5000 0.5000 0.1729 Pt
0.0000 0.0000 0.3378 Rh
0.5000 0.5000 0.8378 Rh
```

Computed properties:
- V (Å³ per atom) = 15.82
- uncorrected energy (hartree per atom) = -1.6907
- formation enthalpy at 0 K (eV/atom) = -0.22
- ρ (Mg/m³) = 14.44

***

InRuPt2Rh: PBEsol geometry, SCAN.

The structure in POSCAR format:
```
InRuPt2Rh
1.0
4.7025 0.0000 0.0000
0.0000 4.7025 0.0000
0.0000 0.0000 4.7906
In Ru Pt Rh
1 1 2 1
Direct
0.0000 0.0000 0.0000 In
0.5000 0.5000 0.0000 Ru
0.0000 0.5000 0.5000 Pt
0.5000 0.0000 0.5000 Pt
0.0000 0.0000 0.5000 Rh
```

Computed properties:
- V (Å³ per atom) = 21.19
- uncorrected energy (hartree per atom) = -1.7285
- formation enthalpy at 0 K (eV/atom) = 1.44
- ρ (Mg/m³) = 11.11